First-principles (GGA-PBE) data for a relaxed TbEr3Tm12 crystal, as listed in the Alexandria database.

Calculated values
Formation energy from the elements   0.41 eV per formula unit
Magnetization   0.0 μB per formula unit
N(E_F)   21.842 states/eV/f.u.
Crystal system   tetragonal

Lattice parameters (Å, degrees): 4.937 4.937 19.731 90.00 90.00 90.00
Element x y z (fractional)
Er  0.000  0.000  0.750
Er  0.000  0.000  0.250
Er  0.000  0.000  0.500
Tm  0.500  0.000  0.874
Tm  0.500  0.500  0.749
Tm  0.500  0.500  0.500
Tm  0.500  0.000  0.625
Tm  0.000  0.500  0.625
Tm  0.500  0.500  0.000
Tm  0.000  0.500  0.126
Tm  0.500  0.500  0.251
Tm  0.000  0.500  0.375
Tm  0.500  0.000  0.126
Tm  0.000  0.500  0.874
Tm  0.500  0.000  0.375
Tb  0.000  0.000  0.000


First-principles (GGA-PBE) data for a relaxed IrRh2Cl crystal, as listed in the Alexandria database.

Calculated values
Polymorph energy (0 for the lowest one)   223 meV/atom
Magnetization   0.0 μB per formula unit
N(E_F)   6.579 states/eV/f.u.
Crystal system   tetragonal
E_form (uncorrected)   1.99 eV per formula unit

Lattice parameters (Å, degrees): 2.839 2.839 7.548 90.00 90.00 90.00
Element x y z (fractional)
Rh  0.500  0.500  0.241
Rh  0.000  0.000  0.000
Ir  0.500  0.500  0.768
Cl  0.000  0.000  0.492


First-principles (GGA-PBE) data for a relaxed HfC3Br crystal, as listed in the Alexandria database.

Calculated values
Polymorph energy (0 for the lowest one)   319 meV/atom
Magnetization   0.0 μB per formula unit
N(E_F)   3.043 states/eV/f.u.
Crystal system   cubic
E_form (uncorrected)   13.48 eV per formula unit

Lattice parameters (Å, degrees): 3.915 3.915 3.915 90.00 90.00 90.00
Element x y z (fractional)
Br  0.000  0.000  0.000
Hf  0.500  0.500  0.500
C  0.000  0.000  0.500
C  0.500  0.000  0.000
C  0.000  0.500  0.000


First-principles (GGA-PBE) data for a relaxed Tm2HfGa crystal, as listed in the Alexandria database.

Calculated values
Polymorph energy (0 for the lowest one)   390 meV/atom
Formation energy from the elements   0.63 eV per formula unit
Magnetization   0.0 μB per formula unit
N(E_F)   5.551 states/eV/f.u.
Crystal system   trigonal

Lattice parameters (Å, degrees): 3.258 3.258 11.149 81.60 81.60 60.00
Element x y z (fractional)
Ga  0.500  0.500  0.500
Hf  0.000  0.000  0.000
Tm  0.903  0.903  0.290
Tm  0.097  0.097  0.710


First-principles (GGA-PBE) data for a relaxed CaMnPb2 crystal, as listed in the Alexandria database.

Calculated values
Formation energy from the elements   0.56 eV per formula unit
Magnetization   3.9 μB per formula unit
N(E_F)   2.731 states/eV/f.u.
Crystal system   tetragonal

Lattice parameters (Å, degrees): 3.977 3.977 6.912 90.00 90.00 90.00
Each line ends with the local moment (μB).
Element x y z (fractional)
Ca  0.000  0.000  0.502  -0.01
Pb  0.000  0.000  0.954  -0.09
Pb  0.500  0.500  0.240  -0.01
Mn  0.500  0.500  0.805  3.86


First-principles (GGA-PBE) data for a relaxed NbRh2F crystal, as listed in the Alexandria database.

Calculated values
Polymorph energy (0 for the lowest one)   11 meV/atom
Magnetization   0.0 μB per formula unit
N(E_F)   2.303 states/eV/f.u.
Crystal system   cubic
E_form (uncorrected)   -1.04 eV per formula unit

Lattice parameters (Å, degrees): 4.349 4.349 4.349 60.00 60.00 60.00
Element x y z (fractional)
Rh  0.250  0.250  0.250
Rh  0.750  0.750  0.750
Nb  0.500  0.500  0.500
F  0.000  0.000  0.000


First-principles (GGA-PBE) data for a relaxed Pm2ZrNb crystal, as listed in the Alexandria database.

Calculated values
Formation energy from the elements   2.31 eV per formula unit
Magnetization   0.0 μB per formula unit
N(E_F)   6.957 states/eV/f.u.
Crystal system   trigonal

Lattice parameters (Å, degrees): 3.260 3.260 11.542 81.88 81.88 60.00
Element x y z (fractional)
Pm  0.914  0.914  0.258
Pm  0.086  0.086  0.742
Nb  0.000  0.000  0.000
Zr  0.500  0.500  0.500


For reference, uncorrected energy by record: -4.473, -5.855, -5.164, -5.324, -4.506, -6.920, -6.452 eV/atom.